1.
Below is an optimized crystal structure of YTc4P2, with properties calculated at the PBE level.

Geometry as POSCAR:
```
YTc4P2
1.0
2.024 -6.773 0.000
2.024 6.773 0.000
0.000 0.000 4.009
Y Tc P
1 4 2
direct
0.000 0.000 0.000
0.183 0.817 0.500
0.309 0.691 0.000
0.691 0.309 0.000
0.817 0.183 0.500
0.414 0.586 0.500
0.586 0.414 0.500
```

Values from the calculation:
Space-group type: No. 65
Electronic total energy: -9.10 eV/atom
Magnetic moment: 0.0001 μB per atom



2.
Below is an optimized crystal structure of CsZrCuTe2S, with properties calculated at the PBE level.

Geometry as POSCAR:
```
CsZrCuTe2S
1.0
2.018 -8.546 0.000
2.018 8.546 0.000
0.000 0.000 10.278
Cs Zr Cu Te S
2 2 2 4 2
direct
0.231 0.769 0.750
0.769 0.231 0.250
0.500 0.500 0.000
0.500 0.500 0.500
0.026 0.974 0.250
0.974 0.026 0.750
0.120 0.880 0.051
0.120 0.880 0.449
0.880 0.120 0.551
0.880 0.120 0.949
0.456 0.544 0.250
0.544 0.456 0.750
```

Values from the calculation:
Space-group type: No. 63
Electronic total energy: -4.86 eV/atom
Magnetic moment: 0.0009 μB per atom



3.
Below is an optimized crystal structure of Ag3SbS4, with properties calculated at the PBE level.

Geometry as POSCAR:
```
Ag3SbS4
1.0
-2.923 2.923 5.817
2.923 -2.923 5.817
2.923 2.923 -5.817
Ag Sb S
3 1 4
direct
0.000 0.000 0.000
0.250 0.750 0.500
0.750 0.250 0.500
0.500 0.500 0.000
0.142 0.616 0.000
0.384 0.384 0.525
0.616 0.142 0.000
0.858 0.858 0.475
```

Values from the calculation:
Space-group type: No. 121
Electronic total energy: -3.75 eV/atom



4.
Below is an optimized crystal structure of LuAlZnCu, with properties calculated at the PBE level.

Geometry as POSCAR:
```
LuAlZnCu
1.0
0.000 3.219 3.219
3.219 0.000 3.219
3.219 3.219 0.000
Lu Al Zn Cu
1 1 1 1
direct
0.000 0.000 0.000
0.500 0.500 0.500
0.250 0.250 0.250
0.750 0.750 0.750
```

Values from the calculation:
Space-group type: No. 216
Magnetic moment: 0.0001 μB per atom
Excess energy over the best structure of this formula in the dataset: 0.0 meV per atom



5.
Below is an optimized crystal structure of MgSbPt, with properties calculated at the PBE level.

Geometry as POSCAR:
```
MgSbPt
1.0
6.332 0.000 0.000
0.000 6.332 0.000
0.000 0.000 6.332
Mg Sb Pt
4 4 4
direct
0.001 0.001 0.001
0.499 0.999 0.501
0.501 0.499 0.999
0.999 0.501 0.499
0.000 0.000 0.500
0.000 0.500 0.000
0.500 0.000 0.000
0.500 0.500 0.500
0.250 0.250 0.250
0.250 0.750 0.750
0.750 0.250 0.750
0.750 0.750 0.250
```

Values from the calculation:
Space-group type: No. 198
Electronic total energy: -4.63 eV/atom
Magnetic moment: 0.0008 μB per atom



6.
Below is an optimized crystal structure of HoZn2Ag, with properties calculated at the PBE level.

Geometry as POSCAR:
```
HoZn2Ag
1.0
6.935 0.000 0.000
0.000 4.316 0.000
0.000 0.000 10.157
Ho Zn Ag
4 8 4
direct
0.220 0.250 0.173
0.280 0.750 0.673
0.720 0.250 0.327
0.780 0.750 0.827
0.081 0.250 0.852
0.194 0.750 0.963
0.306 0.250 0.463
0.419 0.750 0.352
0.581 0.250 0.648
0.694 0.750 0.537
0.806 0.250 0.037
0.919 0.750 0.148
0.036 0.750 0.402
0.464 0.250 0.902
0.536 0.750 0.098
0.964 0.250 0.598
```

Values from the calculation:
ΔH_f (0 K): -0.3366 eV per atom
Space-group type: No. 62
Magnetic moment: 0.0004 μB per atom



7.
Below is an optimized crystal structure of Y2TlNi2, with properties calculated at the PBE level.

Geometry as POSCAR:
```
Y2TlNi2
1.0
-2.364 2.364 4.908
2.364 -2.364 4.908
2.364 2.364 -4.908
Y Tl Ni
2 1 2
direct
0.250 0.750 0.500
0.750 0.250 0.500
0.000 0.000 0.000
0.387 0.387 0.000
0.613 0.613 0.000
```

Values from the calculation:
Space-group type: No. 139
Electronic total energy: -5.41 eV/atom
Magnetic moment: 0.0003 μB per atom



8.
Below is an optimized crystal structure of Ho2In2Pt3C, with properties calculated at the PBE level.

Geometry as POSCAR:
```
Ho2In2Pt3C
1.0
4.385 0.000 0.000
-2.192 3.797 0.000
0.000 0.000 9.823
Ho In Pt C
2 2 3 1
direct
0.000 0.000 0.000
0.333 0.667 0.470
0.667 0.333 0.212
0.667 0.333 0.718
0.000 0.000 0.331
0.000 0.000 0.624
0.333 0.667 0.819
0.333 0.667 0.021
```

Values from the calculation:
Space-group type: No. 156
Electronic total energy: -5.72 eV/atom
Magnetic moment: 0.0003 μB per atom



9.
Below is an optimized crystal structure of Ba2GdSe3, with properties calculated at the PBE level.

Geometry as POSCAR:
```
Ba2GdSe3
1.0
4.429 0.000 0.000
-2.215 3.836 0.000
0.000 0.000 11.242
Ba Gd Se
2 1 3
direct
0.333 0.667 0.177
0.667 0.333 0.823
0.000 0.000 0.500
0.000 0.000 0.000
0.333 0.667 0.637
0.667 0.333 0.363
```

Values from the calculation:
Space-group type: No. 164
Electronic total energy: -5.08 eV/atom
Magnetic moment: 0.0028 μB per atom



10.
Below is an optimized crystal structure of Hf4Ta2Bi3C3, with properties calculated at the PBE level.

Geometry as POSCAR:
```
Hf4Ta2Bi3C3
1.0
5.170 -2.989 0.000
5.170 2.989 0.000
-3.438 0.000 13.839
Hf Ta Bi C
8 4 6 6
direct
0.031 0.191 0.083
0.136 0.305 0.417
0.191 0.031 0.583
0.305 0.136 0.917
0.695 0.864 0.083
0.809 0.969 0.417
0.864 0.695 0.583
0.969 0.809 0.917
0.354 0.525 0.074
0.475 0.646 0.426
0.525 0.354 0.574
0.646 0.475 0.926
0.092 0.908 0.250
0.259 0.416 0.751
0.416 0.259 0.251
0.584 0.741 0.749
0.741 0.584 0.249
0.908 0.092 0.750
0.000 0.500 0.000
0.170 0.665 0.500
0.335 0.830 0.000
0.500 0.000 0.500
0.665 0.170 0.000
0.830 0.335 0.500
```

Values from the calculation:
Space-group type: No. 15
Electronic total energy: -9.05 eV/atom
Magnetic moment: 0.0001 μB per atom



11.
Below is an optimized crystal structure of KSmDyNi2, with properties calculated at the PBE level.

Geometry as POSCAR:
```
KSmDyNi2
1.0
3.761 0.000 0.000
0.000 2.015 8.974
0.000 -2.015 8.974
K Sm Dy Ni
1 1 1 2
direct
0.000 0.000 0.000
0.500 0.670 0.670
0.500 0.333 0.333
0.000 0.215 0.215
0.000 0.796 0.796
```

Values from the calculation:
Space-group type: No. 38
Electronic total energy: -4.45 eV/atom
Magnetic moment: 0.0007 μB per atom



12.
Below is an optimized crystal structure of TaCuReSi, with properties calculated at the PBE level.

Geometry as POSCAR:
```
TaCuReSi
1.0
0.000 3.074 3.074
3.074 0.000 3.074
3.074 3.074 0.000
Ta Cu Re Si
1 1 1 1
direct
0.000 0.000 0.000
0.750 0.750 0.750
0.250 0.250 0.250
0.500 0.500 0.500
```

Values from the calculation:
Space-group type: No. 216
Magnetic moment: 0.0021 μB per atom
Excess energy over the best structure of this formula in the dataset: 0.0 meV per atom



13.
Below is an optimized crystal structure of YTmSb2, with properties calculated at the PBE level.

Geometry as POSCAR:
```
YTmSb2
1.0
4.361 0.000 0.000
0.000 4.361 0.000
0.000 0.000 6.168
Y Tm Sb
1 1 2
direct
0.000 0.000 0.000
0.500 0.500 0.500
0.000 0.000 0.500
0.500 0.500 0.000
```

Values from the calculation:
Space-group type: No. 123
Electronic total energy: -5.91 eV/atom
Magnetic moment: 0.0001 μB per atom



14.
Below is an optimized crystal structure of ZrZn, with properties calculated at the PBE level.

Geometry as POSCAR:
```
ZrZn
1.0
1.826 -2.179 0.000
1.826 2.179 0.000
0.000 0.000 4.597
Zr Zn
1 1
direct
0.000 0.000 0.000
0.500 0.500 0.500
```

Values from the calculation:
ΔH_f (0 K): -0.0963 eV per atom
Space-group type: No. 65
Magnetic moment: 0.0017 μB per atom



15.
Below is an optimized crystal structure of CsPdBr3, with properties calculated at the PBE level.

Geometry as POSCAR:
```
CsPdBr3
1.0
5.309 0.000 0.000
0.000 5.309 0.000
0.000 0.000 5.309
Cs Pd Br
1 1 3
direct
0.000 0.000 0.000
0.500 0.500 0.500
0.000 0.500 0.500
0.500 0.000 0.500
0.500 0.500 0.000
```

Values from the calculation:
Space-group type: No. 221
Electronic total energy: -3.12 eV/atom



16.
Below is an optimized crystal structure of TmGeHO4, with properties calculated at the PBE level.

Geometry as POSCAR:
```
TmGeHO4
1.0
5.134 0.000 0.000
0.000 11.426 0.000
0.000 0.000 4.743
Tm Ge H O
4 4 4 16
direct
0.000 0.119 0.250
0.000 0.881 0.750
0.500 0.381 0.750
0.500 0.619 0.250
0.000 0.393 0.250
0.000 0.607 0.750
0.500 0.107 0.750
0.500 0.893 0.250
0.000 0.297 0.750
0.000 0.703 0.250
0.500 0.203 0.250
0.500 0.797 0.750
0.124 0.296 0.526
0.124 0.704 0.026
0.236 0.040 0.585
0.236 0.960 0.085
0.264 0.460 0.085
0.264 0.540 0.585
0.376 0.204 0.026
0.376 0.796 0.526
0.624 0.204 0.474
0.624 0.796 0.974
0.736 0.460 0.415
0.736 0.540 0.915
0.764 0.040 0.915
0.764 0.960 0.415
0.876 0.296 0.974
0.876 0.704 0.474
```

Values from the calculation:
Space-group type: No. 60
Magnetic moment: 0.0007 μB per atom
Excess energy over the best structure of this formula in the dataset: 39.0 meV per atom



17.
Below is an optimized crystal structure of Cd3H22C30O18, with properties calculated at the PBE level.

Geometry as POSCAR:
```
Cd3H22C30O18
1.0
11.983 -3.233 0.000
11.983 3.233 0.000
-3.572 0.000 11.256
Cd H C O
3 22 30 18
direct
0.000 0.000 0.000
0.387 0.387 0.805
0.613 0.613 0.195
0.194 0.194 0.575
0.229 0.229 0.180
0.244 0.582 0.503
0.264 0.599 0.303
0.282 0.526 0.048
0.314 0.314 0.368
0.374 0.621 0.198
0.379 0.626 0.802
0.401 0.736 0.697
0.418 0.756 0.497
0.474 0.718 0.952
0.526 0.282 0.048
0.582 0.244 0.503
0.599 0.264 0.303
0.621 0.374 0.198
0.626 0.379 0.802
0.686 0.686 0.632
0.718 0.474 0.952
0.736 0.401 0.697
0.756 0.418 0.497
0.771 0.771 0.820
0.806 0.806 0.425
0.053 0.053 0.820
0.068 0.068 0.708
0.086 0.086 0.490
0.108 0.729 0.457
0.111 0.111 0.170
0.116 0.740 0.347
0.154 0.154 0.384
0.165 0.165 0.273
0.201 0.201 0.488
0.222 0.222 0.266
0.258 0.258 0.481
0.260 0.884 0.653
0.269 0.269 0.371
0.271 0.892 0.543
0.306 0.306 0.595
0.694 0.694 0.405
0.729 0.108 0.457
0.731 0.731 0.629
0.740 0.116 0.347
0.742 0.742 0.519
0.778 0.778 0.734
0.799 0.799 0.512
0.835 0.835 0.727
0.846 0.846 0.616
0.884 0.260 0.653
0.889 0.889 0.830
0.892 0.271 0.543
0.914 0.914 0.510
0.932 0.932 0.292
0.947 0.947 0.180
0.084 0.744 0.871
0.097 0.097 0.380
0.127 0.783 0.132
0.217 0.873 0.868
0.256 0.916 0.129
0.292 0.292 0.692
0.359 0.359 0.594
0.383 0.383 0.004
0.478 0.478 0.772
0.522 0.522 0.228
0.617 0.617 0.996
0.641 0.641 0.406
0.708 0.708 0.308
0.744 0.084 0.871
0.783 0.127 0.132
0.873 0.217 0.868
0.903 0.903 0.620
0.916 0.256 0.129
```

Values from the calculation:
Space-group type: No. 12
Electronic total energy: -6.58 eV/atom



18.
Below is an optimized crystal structure of Li4Al2ZnCu, with properties calculated at the PBE level.

Geometry as POSCAR:
```
Li4Al2ZnCu
1.0
4.300 0.000 0.000
0.000 4.300 0.000
0.000 0.000 6.095
Li Al Zn Cu
4 2 1 1
direct
0.000 0.000 0.000
0.000 0.500 0.745
0.500 0.000 0.255
0.500 0.500 0.500
0.000 0.500 0.264
0.500 0.000 0.736
0.500 0.500 0.000
0.000 0.000 0.500
```

Values from the calculation:
Space-group type: No. 115
Electronic total energy: -2.72 eV/atom



19.
Below is an optimized crystal structure of AcNdAl, with properties calculated at the PBE level.

Geometry as POSCAR:
```
AcNdAl
1.0
0.000 3.781 3.781
3.781 0.000 3.781
3.781 3.781 0.000
Ac Nd Al
1 1 1
direct
0.000 0.000 0.000
0.500 0.500 0.500
0.250 0.250 0.250
```

Values from the calculation:
Space-group type: No. 216
Magnetic moment: 0.1805 μB per atom
Excess energy over the best structure of this formula in the dataset: 0.0 meV per atom



20.
Below is an optimized crystal structure of CuHgGe2, with properties calculated at the PBE level.

Geometry as POSCAR:
```
CuHgGe2
1.0
0.000 3.346 3.346
3.346 0.000 3.346
3.346 3.346 0.000
Cu Hg Ge
1 1 2
direct
0.000 0.000 0.000
0.250 0.250 0.250
0.500 0.500 0.500
0.750 0.750 0.750
```

Values from the calculation:
Space-group type: No. 216
Electronic total energy: -2.94 eV/atom



21.
Below is an optimized crystal structure of PrCoCuGe2, with properties calculated at the PBE level.

Geometry as POSCAR:
```
PrCoCuGe2
1.0
-2.075 2.075 5.084
2.075 -2.075 5.084
2.075 2.075 -5.084
Pr Co Cu Ge
1 1 1 2
direct
0.000 0.000 0.000
0.250 0.750 0.500
0.750 0.250 0.500
0.371 0.371 0.000
0.629 0.629 0.000
```

Values from the calculation:
Space-group type: No. 119
Electronic total energy: -5.47 eV/atom
Magnetic moment: 0.1765 μB per atom